1.
Ce2Pu3NpSe6 | Alexandria | PBE-GGA | relaxed; symmetry = C2/m; crystal system = monoclinic; E_tot = -8.931 eV per atom
1.0
-0.599 -3.297 -2.396
8.192 -1.669 0.248
-3.176 -2.873 8.288
Ce Pu Np Se
2 3 1 6
direct
0.835 0.670 0.670
0.165 0.330 0.330
0.500 0.500 0.000
0.832 0.167 0.665
0.168 0.833 0.335
0.500 0.000 0.000
0.334 0.922 0.667
0.666 0.586 0.332
0.666 0.078 0.333
0.998 0.248 0.996
0.002 0.752 0.004
0.334 0.414 0.668

***

2.
PS | Alexandria | PBE-GGA | relaxed; symmetry = P2_12_12_1; crystal system = orthorhombic; E_tot = -4.845 eV per atom
1.0
-3.559 -4.084 -1.937
3.904 0.765 -8.785
6.947 -7.221 2.458
P S
8 8
direct
0.598 0.780 0.204
0.098 0.720 0.796
0.402 0.280 0.296
0.902 0.220 0.704
0.042 0.905 0.673
0.542 0.595 0.327
0.958 0.405 0.827
0.458 0.095 0.173
0.864 0.703 0.330
0.364 0.797 0.670
0.136 0.203 0.170
0.636 0.297 0.830
0.092 0.068 0.813
0.592 0.432 0.187
0.908 0.568 0.687
0.408 0.932 0.313

***

3.
Pm2PrBr | Alexandria | PBE-GGA | relaxed; symmetry = R3m; crystal system = trigonal; E_tot = -4.516 eV per atom
1.0
3.752 0.000 0.000
1.876 3.249 0.000
1.876 1.083 10.626
Pm Pr Br
2 1 1
direct
0.074 0.074 0.779
0.260 0.260 0.221
0.500 0.500 0.500
0.667 0.667 0.000

***

4.
TmMg2Tl | Alexandria | PBE-GGA | relaxed; symmetry = P4/mmm; crystal system = tetragonal; calculated formation energy = -0.058 eV/atom
1.0
3.512 0.000 0.000
0.000 3.512 0.000
0.000 0.000 8.273
Tl Tm Mg
1 1 2
direct
0.500 0.500 0.000
0.500 0.500 0.500
0.000 0.000 0.769
0.000 0.000 0.231